(1)
MgRu3O | PBE | relaxed

Properties
E in eV per formula unit: -22.30
N(E_F) in states/eV per atom: 0.970
Volume in Å³ per cell: 100.38
Offset from the most stable computed form in eV/atom: 2.3213
Formation energy (no corrections) in kcal/mol of atoms: 55.7

Lattice parameters (Å, degrees): 4.647 4.647 4.647 90.00 90.00 90.00
Space group Pm-3m (No. 221)
Inequivalent atoms, fractional coordinates:
Mg  0.000  0.000  0.000
Ru  0.000  0.000  0.500
O  0.500  0.500  0.500

(2)
MgRu2O | PBE | relaxed

Properties
E in eV per formula unit: -21.80
N(E_F) in states/eV per atom: 1.025
Volume in Å³ per cell: 210.40
Formation energy (no corrections) in kcal/mol of atoms: 19.1

Lattice parameters (Å, degrees): 5.948 5.948 5.948 90.00 90.00 90.00
Space group Fm-3m (No. 225)
Inequivalent atoms, fractional coordinates:
Mg  0.000  0.000  0.000
Ru  0.250  0.250  0.250
O  0.000  0.000  0.500

(3)
MgRu3O | PBE | relaxed

Properties
E in eV per formula unit: -33.90
N(E_F) in states/eV per atom: 0.819
Volume in Å³ per cell: 68.08
Offset from the most stable computed form in eV/atom: 0.0000
Formation energy (no corrections) in kcal/mol of atoms: 2.2

Lattice parameters (Å, degrees): 4.083 4.083 4.083 90.00 90.00 90.00
Space group Pm-3m (No. 221)
Inequivalent atoms, fractional coordinates:
Mg  0.000  0.000  0.000
Ru  0.000  0.500  0.500
O  0.500  0.500  0.500

(4)
MgRuO2 | PBE | relaxed

Properties
E in eV per formula unit: -26.52
N(E_F) in states/eV per atom: 0.783
Volume in Å³ per cell: 130.74
Formation energy (no corrections) in kcal/mol of atoms: -33.0

Lattice parameters (Å, degrees): 2.8690 2.8690 18.3409 90.00 90.00 120.00
Space group R-3m (No. 166, hexagonal axes)
Inequivalent atoms, fractional coordinates:
Mg  0.0000  0.0000  0.0000
Ru  0.0000  0.0000  0.5000
O  0.0000  0.0000  0.3968

(5)
Mg3Ru2O8 | PBE | relaxed

Properties
E in eV per formula unit: -83.15
N(E_F) in states/eV per atom: 0.463
Volume in Å³ per cell: 311.53
Formation energy (no corrections) in kcal/mol of atoms: -35.7

Lattice parameters (Å, degrees): 10.321 6.056 5.265 90.00 108.81 90.00
Space group C2/m (No. 12)
Inequivalent atoms, fractional coordinates:
Mg  0.000  0.000  0.000
Mg  0.000  0.251  0.500
Ru  0.247  0.500  0.475
O  0.119  0.000  0.723
O  0.127  0.500  0.675
O  0.133  0.229  0.277

(6)
MgSbRuO6 | PBE | relaxed

Properties
E in eV per formula unit: -58.04
N(E_F) in states/eV per atom: 0.551
Volume in Å³ per cell: 204.67
Formation energy (no corrections) in kcal/mol of atoms: -34.1

Lattice parameters (Å, degrees): 4.676 4.676 9.363 90.00 90.00 90.00
Space group P4_2nm (No. 102)
Inequivalent atoms, fractional coordinates:
Mg  0.000  0.000  0.000
Sb  0.000  0.000  0.333
Ru  0.000  0.000  0.667
O  0.190  0.190  0.506
O  0.196  0.196  0.830
O  0.204  0.204  0.171

Please write out number 3 again, unchanged.
MgRu3O | PBE | relaxed

Properties
E in eV per formula unit: -33.90
N(E_F) in states/eV per atom: 0.819
Volume in Å³ per cell: 68.08
Offset from the most stable computed form in eV/atom: 0.0000
Formation energy (no corrections) in kcal/mol of atoms: 2.2

Lattice parameters (Å, degrees): 4.083 4.083 4.083 90.00 90.00 90.00
Space group Pm-3m (No. 221)
Inequivalent atoms, fractional coordinates:
Mg  0.000  0.000  0.000
Ru  0.000  0.500  0.500
O  0.500  0.500  0.500

Q: Which formula does entry 6 have?
A: MgSbRuO6

Q: Look up the N(E_F) of the third one.
A: 0.819 states/eV per atom